Material: CaDyPdPt
Method: DFT, GGA-PBE
State: relaxed

a b c (Å): 4.9354 4.9354 4.9354
angles (deg): 60.00 60.00 60.00
Sites, in units of the cell vectors:
Ca 0.0000 0.0000 0.0000
Pd 0.7500 0.7500 0.7500
Pt 0.2500 0.2500 0.2500
Dy 0.5000 0.5000 0.5000

Values from the calculation:
The calculation puts the final energy at -21.59 eV/f.u. Its polymorph energy (0 for the lowest one) is 26 meV/atom. The volume is 21.25 A^3/atom. The energy of formation from the pure elements comes out at -0.94 eV per atom. Its density of states at the Fermi level is 3.21 states/eV/f.u. The value obtained for the size of the total moment is 0.00 μB per cell.

Material: CaDyPdPt
Method: DFT, GGA-PBE
State: relaxed

a b c (Å): 3.8485 4.3660 5.7517
angles (deg): 90.00 109.55 90.00
Sites, in units of the cell vectors:
Ca 0.1418 0.0000 0.2835
Dy 0.8632 0.5000 0.7264
Pd 0.5810 0.5000 0.1620
Pt 0.4140 0.0000 0.8281

Values from the calculation:
The calculation puts the final energy at -21.70 eV/f.u. Its polymorph energy (0 for the lowest one) is 0 meV/atom. The volume is 22.77 A^3/atom. The energy of formation from the pure elements comes out at -0.97 eV per atom. Its density of states at the Fermi level is 1.22 states/eV/f.u. The value obtained for the size of the total moment is 0.00 μB per cell.

Material: CaDySi2Pd5
Method: DFT, GGA-PBE
State: relaxed

a b c (Å): 4.1981 4.1981 8.9043
angles (deg): 90.00 90.00 90.00
Sites, in units of the cell vectors:
Ca 0.0000 0.0000 0.5000
Dy 0.0000 0.0000 0.0000
Si 0.5000 0.5000 0.1326
Si 0.5000 0.5000 0.8674
Pd 0.0000 0.5000 0.2639
Pd 0.5000 0.0000 0.2639
Pd 0.0000 0.5000 0.7361
Pd 0.5000 0.0000 0.7361
Pd 0.5000 0.5000 0.5000

Values from the calculation:
The raw formation energy comes out at -829 meV/atom. The calculation puts the final energy at -50.87 eV/f.u. The volume is 17.44 A^3/atom. Its density of states at the Fermi level is 5.51 states/eV/f.u. The value obtained for the size of the total moment is 0.00 μB per cell.